A plane-wave DFT calculation with PBE was carried out for Pm2InIr2 after structural relaxation.

Summary:
DOS at the Fermi energy   3.60 states/eV/f.u.
Formation energy from the elements   -674.7 meV per atom
Magnetization   0.000 μB/f.u.
E above lowest polymorph   8.2 meV per atom
Energy   -6.67 eV/atom

Geometry as extended XYZ:
```
5
Lattice="-2.223 2.984 4.319 2.223 -2.984 4.319 2.223 2.984 -4.319" Properties=species:S:1:pos:R:3 pbc="T T T"
Pm 0.000 0.000 1.775
Pm 0.000 0.000 6.863
In 0.000 2.984 0.000
Ir 2.223 1.294 0.000
Ir 0.000 1.690 4.319
```